[1]
Crystalline CoBAu2 at its relaxed geometry. Source: Alexandria, functional PBE-GGA.

## Properties
- Mass density: 12.57 Mg/m³

```
8
Lattice="7.7077 0.0000 0.0000 0.0000 7.7077 0.0000 3.8539 3.8539 2.0616" Properties=species:S:1:pos:R:3 pbc="T T T"
B 3.8539 7.7077 1.0308
B 3.8539 3.8539 0.0000
Co 7.7077 3.8539 1.0308
Co 0.0000 0.0000 0.0000
Au 9.6346 8.6509 1.5462
Au 2.9106 5.7808 0.5154
Au 4.7971 1.9269 0.5154
Au 5.7808 6.7645 1.5462
```



[2]
Crystalline Sr2CaTaTc at its relaxed geometry. Source: Alexandria, functional PBE-GGA.

## Properties
- Mass density: 4.46 Mg/m³

```
5
Lattice="-3.2502 -1.6565 5.1110 -2.9870 -2.3930 -2.6751 3.5682 -5.1314 0.6060" Properties=species:S:1:pos:R:3 pbc="T T T"
Sr 1.7841 -2.5657 0.3030
Sr -1.6251 -0.8283 2.5555
Ca -1.3345 -4.5905 1.5209
Tc -1.4935 -1.1965 -1.3376
Ta 0.0000 0.0000 0.0000
```



Asked for E_form across the records above, the calculation gives 0.545 0.910 eV/atom in order.